This record from OQMD via LeMat-Bulk describes an optimized crystal structure of Gd2YN3. The functional is PBE.

## Properties
Energy (eV per atom): -8.4307

The structure in POSCAR format:
```
Gd2YN3
1.0
-2.541 0.297 -2.377
3.071 -1.402 -0.893
-2.913 -7.746 2.147
Gd N Y
2 3 1
Cartesian
-1.159 -1.570 -1.522
-1.224 -7.281 0.398
0.000 0.000 0.000
0.224 -3.432 -0.668
-2.607 -5.419 -0.455
-1.456 -3.873 1.073
```